Here is crystalline UP4 at its relaxed geometry from Alexandria. Energies are from PBE.

The crystal system is cubic. The symmetry is Pm-3m (221). For the density of states at the Fermi level, the calculation gives 3.810 states/eV/cell. The formation enthalpy at 0 K is 4.72 eV per formula unit. The total energy is -5.6425 eV per atom.

Cell and atoms, written as extended XYZ:
```
5
Lattice="5.119 0.000 0.000 0.000 5.119 0.000 0.000 0.000 5.119" Properties=species:S:1:pos:R:3 pbc="T T T"
U 0.000 0.000 0.000
P 0.000 0.000 2.559
P 0.000 2.559 0.000
P 2.559 0.000 0.000
P 2.559 2.559 2.559
```